[1]
First-principles (PBE-GGA) data for an optimized crystal structure of CdGaRh2Br, as listed in Alexandria via LeMat-Bulk.

The value obtained for the total moment is 0.000 μB per atom. For the calculated density, the calculation gives 6559 kg/m³. As for the energy relative to the elements, uncorrected: 0.889 eV/atom.

The structure belongs to space group P4/mmm (No. 123); the cell edges are 4.656, 4.656 and 5.463 Å and the angles 90.00°, 90.00° and 90.00°. The asymmetric unit holds Cd at (0.000, 0.000, 0.000), Ga at (0.500, 0.500, 0.000), Rh at (0.000, 0.500, 0.500) and Br at (0.000, 0.000, 0.500).

[2]
First-principles (PBE-GGA) data for an optimized crystal structure of CdGaSiBr2, as listed in Alexandria via LeMat-Bulk.

The value obtained for the total moment is 0.198 μB per atom. For the calculated density, the calculation gives 3657 kg/m³. As for the energy relative to the elements, uncorrected: 0.278 eV/atom.

The structure belongs to space group P4/mmm (No. 123); the cell edges are 5.774, 5.774 and 5.039 Å and the angles 90.00°, 90.00° and 90.00°. The asymmetric unit holds Cd at (0.000, 0.000, 0.000), Ga at (0.500, 0.500, 0.500), Si at (0.000, 0.000, 0.500) and Br at (0.000, 0.500, 0.000).

[3]
First-principles (PBE-GGA) data for an optimized crystal structure of TlCd2GaBr6, as listed in Alexandria via LeMat-Bulk.

The value obtained for the total moment is 0.000 μB per atom. For the calculated density, the calculation gives 4184 kg/m³. As for the energy relative to the elements, uncorrected: -0.773 eV/atom.

The structure belongs to space group C2/c (No. 15); the cell edges are 14.794, 13.795 and 7.741 Å and the angles 90.00°, 100.52° and 90.00°. The asymmetric unit holds Tl at (0.000, 0.101, 0.250), Cd at (0.204, 0.412, 0.272), Ga at (0.000, 0.280, 0.750), Br at (0.115, 0.103, 0.663), Br at (0.129, 0.260, 0.107) and Br at (0.146, 0.429, 0.582).

[4]
First-principles (PBE-GGA) data for an optimized crystal structure of TlCdGaBr4, as listed in Alexandria via LeMat-Bulk.

The value obtained for the total moment is 0.000 μB per atom. For the calculated density, the calculation gives 4544 kg/m³. As for the energy relative to the elements, uncorrected: -0.746 eV/atom.

The structure belongs to space group P2_1/m (No. 11); the cell edges are 7.829, 7.750 and 8.914 Å and the angles 90.00°, 107.37° and 90.00°. The asymmetric unit holds Tl at (0.236, 0.250, 0.029), Cd at (0.261, 0.750, 0.317), Ga at (0.212, 0.250, 0.521), Br at (0.027, 0.009, 0.264), Br at (0.418, 0.750, 0.098) and Br at (0.479, 0.750, 0.604).

[5]
First-principles (PBE-GGA) data for an optimized crystal structure of Zn2CdGaBr, as listed in Alexandria via LeMat-Bulk.

The value obtained for the total moment is 0.000 μB per atom. For the calculated density, the calculation gives 4600 kg/m³. As for the energy relative to the elements, uncorrected: 0.137 eV/atom.

The structure belongs to space group P4/mmm (No. 123); the cell edges are 5.130, 5.130 and 5.389 Å and the angles 90.00°, 90.00° and 90.00°. The asymmetric unit holds Zn at (0.000, 0.500, 0.000), Cd at (0.000, 0.000, 0.000), Ga at (0.000, 0.000, 0.500) and Br at (0.500, 0.500, 0.500).

[6]
First-principles (PBE-GGA) data for an optimized crystal structure of ZrCdGa2Br, as listed in Alexandria via LeMat-Bulk.

The value obtained for the total moment is 0.185 μB per atom. For the calculated density, the calculation gives 5017 kg/m³. As for the energy relative to the elements, uncorrected: 0.818 eV/atom.

The structure belongs to space group P4/mmm (No. 123); the cell edges are 5.188, 5.188 and 5.200 Å and the angles 90.00°, 90.00° and 90.00°. The asymmetric unit holds Zr at (0.000, 0.000, 0.000), Cd at (0.500, 0.500, 0.000), Ga at (0.000, 0.500, 0.500) and Br at (0.500, 0.500, 0.500).